# 1
! PBE TlPb2ICl4, relaxed; values from VASP
&SYSTEM
  ibrav = 0, nat = 8, ntyp = 4
/
ATOMIC_SPECIES
Cl 35.45 Cl.upf
Pb 207.20 Pb.upf
Tl 204.38 Tl.upf
I 126.90 I.upf
CELL_PARAMETERS angstrom
-2.788 -1.121 3.823
-3.363 -1.837 -2.992
4.997 -10.209 0.652
ATOMIC_POSITIONS angstrom
Cl 2.627 -8.775 2.436
Cl 2.339 -9.134 -0.971
Cl -0.706 -2.912 -1.369
Cl -0.418 -2.554 2.039
Pb 0.312 -8.401 0.857
Pb -1.467 -4.765 0.625
Tl 0.000 0.000 0.000
I 2.498 -5.104 0.326
! Uncorrected formation energy: -0.941 eV/atom



# 2
! PBE TlPbI2Cl, relaxed; values from VASP
&SYSTEM
  ibrav = 0, nat = 5, ntyp = 4
/
ATOMIC_SPECIES
Pb 207.20 Pb.upf
Cl 35.45 Cl.upf
Tl 204.38 Tl.upf
I 126.90 I.upf
CELL_PARAMETERS angstrom
-1.915 2.133 -5.683
4.089 -3.951 -2.861
-3.935 -3.957 -0.159
ATOMIC_POSITIONS angstrom
Pb 0.000 0.000 0.000
Cl -1.968 -1.979 -0.080
Tl -0.881 -2.888 -4.351
I 2.044 -1.976 -1.430
I -0.957 1.066 -2.842
! Uncorrected formation energy: -0.698 eV/atom
! Relative energy among the computed polymorphs: 105.7 meV/atom



Copy entry 1 word for word.
! PBE TlPb2ICl4, relaxed; values from VASP
&SYSTEM
  ibrav = 0, nat = 8, ntyp = 4
/
ATOMIC_SPECIES
Cl 35.45 Cl.upf
Pb 207.20 Pb.upf
Tl 204.38 Tl.upf
I 126.90 I.upf
CELL_PARAMETERS angstrom
-2.788 -1.121 3.823
-3.363 -1.837 -2.992
4.997 -10.209 0.652
ATOMIC_POSITIONS angstrom
Cl 2.627 -8.775 2.436
Cl 2.339 -9.134 -0.971
Cl -0.706 -2.912 -1.369
Cl -0.418 -2.554 2.039
Pb 0.312 -8.401 0.857
Pb -1.467 -4.765 0.625
Tl 0.000 0.000 0.000
I 2.498 -5.104 0.326
! Uncorrected formation energy: -0.941 eV/atom



Copy entry 1 word for word.
! PBE TlPb2ICl4, relaxed; values from VASP
&SYSTEM
  ibrav = 0, nat = 8, ntyp = 4
/
ATOMIC_SPECIES
Cl 35.45 Cl.upf
Pb 207.20 Pb.upf
Tl 204.38 Tl.upf
I 126.90 I.upf
CELL_PARAMETERS angstrom
-2.788 -1.121 3.823
-3.363 -1.837 -2.992
4.997 -10.209 0.652
ATOMIC_POSITIONS angstrom
Cl 2.627 -8.775 2.436
Cl 2.339 -9.134 -0.971
Cl -0.706 -2.912 -1.369
Cl -0.418 -2.554 2.039
Pb 0.312 -8.401 0.857
Pb -1.467 -4.765 0.625
Tl 0.000 0.000 0.000
I 2.498 -5.104 0.326
! Uncorrected formation energy: -0.941 eV/atom



Question: Among the records above, which one has the lowest uncorrected formation energy?
Answer: TlPb2ICl4